DFT (PBE-GGA) results for a relaxed structure of ZnTe2RuI.

```
ZnTe2RuI
1.0
5.250 0.000 0.000
0.000 5.250 0.000
0.000 0.000 5.558
Zn Te Ru I
1 2 1 1
Direct
0.000 0.000 0.000
0.000 0.500 0.000
0.500 0.000 0.000
0.500 0.500 0.500
0.000 0.000 0.500
```

Properties
Spin magnetization: 3.53 μB per cell
Symmetry: P4/mmm
Formation energy (no corrections): 1.085 eV per atom
Relative energy among the computed polymorphs: 0.6179 eV/atom
Crystal system: tetragonal